# 1
Here is Pm2NdDy5Er after structural relaxation from the Alexandria database. Energies are from PBE-GGA.

## Properties
**Calculated formation energy**: 0.2709 eV per atom
**Symmetry**: No. 140

abc: 8.7417 8.7417 9.8889
angles: 116.23 116.23 90.00
Sites, in units of the cell vectors:
Pm  0.6164  0.1164  0.0000
Pm  0.8836  0.6164  0.0000
Pm  0.1164  0.3836  0.0000
Pm  0.3836  0.8836  0.0000
Dy  0.6528  0.1528  0.7252
Dy  0.4276  0.3472  0.2748
Dy  0.0724  0.5724  0.7252
Dy  0.5724  0.6528  0.7252
Dy  0.8472  0.9276  0.2748
Dy  0.5000  0.5000  0.0000
Dy  0.1528  0.0724  0.7252
Dy  0.0000  0.0000  0.0000
Dy  0.9276  0.4276  0.2748
Dy  0.3472  0.8472  0.2748
Er  0.7500  0.2500  0.5000
Er  0.2500  0.7500  0.5000
Nd  0.2500  0.2500  0.5000
Nd  0.7500  0.7500  0.5000

---

# 2
Here is HoHfZnPd after structural relaxation from the Alexandria database. Energies are from PBE-GGA.

## Properties
**Calculated formation energy**: -0.4112 eV per atom
**Symmetry**: No. 216

abc: 4.8368 4.8368 4.8368
angles: 60.00 60.00 60.00
Sites, in units of the cell vectors:
Ho  0.7500  0.7500  0.7500
Zn  0.0000  0.0000  0.0000
Hf  0.2500  0.2500  0.2500
Pd  0.5000  0.5000  0.5000

---

# 3
Here is Cu2IF2 after structural relaxation from the Alexandria database. Energies are from PBE-GGA.

## Properties
**Symmetry**: No. 139
**Uncorrected formation energy**: -0.6617 eV/atom
**Offset from the most stable computed form**: 0.000 eV per atom

abc: 4.1364 4.1364 5.6177
angles: 68.40 68.40 90.00
Each line ends with the local moment (μB).
Sites, in units of the cell vectors:
F  0.6809  0.6809  0.6382  0.05
F  0.3191  0.3191  0.3618  0.05
I  0.0000  0.0000  0.0000  0.23
Cu  0.7500  0.2500  0.5000  0.30
Cu  0.2500  0.7500  0.5000  0.30

---

# 4
Here is Y2MnAu after structural relaxation from the Alexandria database. Energies are from PBE-GGA.

## Properties
**Calculated formation energy**: -0.1651 eV per atom
**Symmetry**: No. 99
**Offset from the most stable computed form**: 0.163 eV per atom

abc: 3.5520 3.5520 7.6318
angles: 90.00 90.00 90.00
Each line ends with the local moment (μB).
Sites, in units of the cell vectors:
Y  0.0000  0.0000  0.9477  -0.27
Y  0.5000  0.5000  0.3073  -0.02
Au  0.0000  0.0000  0.5332  0.03
Mn  0.5000  0.5000  0.7117  3.68

---

# 5
Here is GaCuP2 after structural relaxation from the Alexandria database. Energies are from PBE-GGA.

## Properties
**Calculated formation energy**: -0.0130 eV per atom
**Symmetry**: No. 122

abc: 5.3625 5.3625 6.5484
angles: 65.83 65.83 90.00
Sites, in units of the cell vectors:
Ga  0.0000  0.0000  0.0000
Ga  0.7500  0.2500  0.5000
Cu  0.2500  0.7500  0.5000
Cu  0.5000  0.5000  0.0000
P  0.3750  0.3941  0.7500
P  0.6059  0.1250  0.2500
P  0.8750  0.8559  0.7500
P  0.1441  0.6250  0.2500

---

# 6
Here is ZrSnPS2 after structural relaxation from the Alexandria database. Energies are from PBE-GGA.

## Properties
**Symmetry**: No. 123
**Uncorrected formation energy**: -0.3548 eV/atom
**Offset from the most stable computed form**: 0.000 eV per atom

abc: 4.9620 4.9620 5.1278
angles: 90.00 90.00 90.00
Sites, in units of the cell vectors:
Zr  0.0000  0.0000  0.0000
S  0.0000  0.5000  0.0000
S  0.5000  0.0000  0.0000
Sn  0.5000  0.5000  0.5000
P  0.0000  0.0000  0.5000

---

# 7
Here is SmPuIN2 after structural relaxation from the Alexandria database. Energies are from PBE-GGA.

## Properties
**Symmetry**: No. 11
**Uncorrected formation energy**: -1.3562 eV/atom

abc: 4.1551 7.3421 7.9440
angles: 105.97 90.00 90.00
Each line ends with the local moment (μB).
Sites, in units of the cell vectors:
N  0.2500  0.4963  0.1380  0.12
N  0.7500  0.5037  0.8620  0.12
N  0.7500  0.5266  0.3958  0.23
N  0.2500  0.4734  0.6042  0.23
Sm  0.2500  0.6501  0.9160  -0.01
Sm  0.7500  0.3499  0.0840  -0.01
Pu  0.2500  0.6394  0.4098  -4.27
Pu  0.7500  0.3606  0.5902  -4.27
I  0.7500  0.9639  0.2380  0.01
I  0.2500  0.0361  0.7620  0.01

---

# 8
Here is Er3ScRu4 after structural relaxation from the Alexandria database. Energies are from PBE-GGA.

## Properties
**Calculated formation energy**: -0.4075 eV per atom
**Symmetry**: No. 47

abc: 3.3403 4.7098 9.4074
angles: 90.00 90.00 90.00
Sites, in units of the cell vectors:
Ru  0.0000  0.0000  0.5000
Ru  0.0000  0.5000  0.2407
Ru  0.0000  0.5000  0.7593
Ru  0.0000  0.0000  0.0000
Er  0.5000  0.0000  0.2449
Er  0.5000  0.5000  0.5000
Er  0.5000  0.0000  0.7551
Sc  0.5000  0.5000  0.0000

---

# 9
Here is VZnHg3 after structural relaxation from the Alexandria database. Energies are from PBE-GGA.

## Properties
**Calculated formation energy**: 0.6046 eV per atom
**Symmetry**: No. 221
**Offset from the most stable computed form**: 0.000 eV per atom

abc: 5.4362 5.4362 5.4362
angles: 90.00 90.00 90.00
Each line ends with the local moment (μB).
Sites, in units of the cell vectors:
Hg  0.0000  0.0000  0.5000  0.09
Hg  0.0000  0.5000  0.0000  0.09
Hg  0.5000  0.0000  0.0000  0.09
Zn  0.5000  0.5000  0.5000  0.05
V  0.0000  0.0000  0.0000  2.94

---

# 10
Here is LaTbPb after structural relaxation from the Alexandria database. Energies are from PBE-GGA.

## Properties
**Calculated formation energy**: -0.4602 eV per atom
**Symmetry**: No. 12
**Offset from the most stable computed form**: 0.000 eV per atom

abc: 4.7246 4.7246 8.8748
angles: 90.04 89.96 90.00
Each line ends with the local moment (μB).
Sites, in units of the cell vectors:
La  0.7494  0.2506  0.3470  0.08
La  0.2506  0.7494  0.6530  0.08
Pb  0.2493  0.7507  0.2691  0.00
Pb  0.7507  0.2493  0.7309  0.00
Tb  0.2500  0.2500  0.0000  0.06
Tb  0.7500  0.7500  0.0000  0.06

---

# 11
Here is LiAcH6Rh2 after structural relaxation from the Alexandria database. Energies are from PBE-GGA.

## Properties
**Final energy**: -4.462 eV per atom
**Symmetry**: No. 15

abc: 6.2278 6.2278 5.6556
angles: 100.99 100.99 98.03
Sites, in units of the cell vectors:
H  0.4989  0.6817  0.0958
H  0.5011  0.3183  0.9042
H  0.1855  0.2004  0.0884
H  0.4440  0.9030  0.6817
H  0.8145  0.7996  0.9116
H  0.5560  0.0970  0.3183
H  0.0970  0.5560  0.8183
H  0.3183  0.5011  0.4042
H  0.9030  0.4440  0.1817
H  0.6817  0.4989  0.5958
H  0.2004  0.1855  0.5884
H  0.7996  0.8145  0.4116
Rh  0.9232  0.6763  0.6593
Rh  0.6763  0.9232  0.1593
Rh  0.3237  0.0768  0.8407
Rh  0.0768  0.3237  0.3407
Ac  0.8232  0.1768  0.7500
Ac  0.1768  0.8232  0.2500
Li  0.5806  0.4194  0.2500
Li  0.4194  0.5806  0.7500

---

# 12
Here is TeWCl4 after structural relaxation from the Alexandria database. Energies are from PBE-GGA.

## Properties
**Symmetry**: No. 216
**Uncorrected formation energy**: 1.2793 eV/atom

abc: 5.7114 5.7114 5.7114
angles: 60.00 60.00 60.00
Each line ends with the local moment (μB).
Sites, in units of the cell vectors:
Cl  0.3739  0.3739  0.3739  -0.35
Cl  0.3739  0.3739  0.8783  -0.35
Cl  0.8783  0.3739  0.3739  -0.35
Cl  0.3739  0.8783  0.3739  -0.35
Te  0.7500  0.7500  0.7500  -0.58
W  0.0000  0.0000  0.0000  2.53